Record 1
LiTeSe2: relaxed, GGA-PBE.

The raw total energy comes out at -13.6 eV per cell.

The space group is Pm (No. 6) and the conventional cell measures 3.840, 5.383 and 5.618 Å, with angles of 90.00, 109.80 and 90.00 degrees. The distinct sites, in fractional coordinates, are Li at (0.000, 0.000, 0.000), Te at (0.719, 0.500, 0.433), Se at (0.673, 0.000, 0.348) and Se at (0.956, 0.500, 0.906).

=====

Record 2
LiTe4Se: relaxed, GGA-PBE.

The raw total energy comes out at -65.5 eV per cell.

The space group is F-43m (No. 216) and the conventional cell measures 8.962, 8.962 and 8.962 Å, with angles of 90.00, 90.00 and 90.00 degrees. The distinct sites, in fractional coordinates, are Li at (0.000, 0.000, 0.000), Te at (0.123, 0.123, 0.377) and Se at (0.250, 0.250, 0.750).

=====

Record 3
Li3TeSe: relaxed, GGA-PBE.

For the offset from the most stable computed form, the calculation gives 0.0 meV per atom. The raw total energy comes out at -16.4 eV per cell.

The space group is Pm-3m (No. 221) and the conventional cell measures 4.848, 4.848 and 4.848 Å, with angles of 90.00, 90.00 and 90.00 degrees. The distinct sites, in fractional coordinates, are Li at (0.000, 0.000, 0.500), Te at (0.500, 0.500, 0.500) and Se at (0.000, 0.000, 0.000).

=====

Record 4
LiTeSe2: relaxed, GGA-PBE.

The raw total energy comes out at -39.3 eV per cell.

The space group is R3m (No. 160, hexagonal axes) and the conventional cell measures 4.2985, 4.2985 and 20.8135 Å, with angles of 90.00, 90.00 and 120.00 degrees. The distinct sites, in fractional coordinates, are Li at (0.0000, 0.0000, 0.0000), Te at (0.0000, 0.0000, 0.7949), Se at (0.0000, 0.0000, 0.1926) and Se at (0.0000, 0.0000, 0.3748).

=====

Record 5
LiTeSe2: relaxed, GGA-PBE.

The raw total energy comes out at -26.3 eV per cell.

The space group is Imm2 (No. 44) and the conventional cell measures 3.768, 3.793 and 12.787 Å, with angles of 90.00, 90.00 and 90.00 degrees. The distinct sites, in fractional coordinates, are Li at (0.000, 0.000, 0.000), Te at (0.000, 0.500, 0.277), Se at (0.000, 0.000, 0.439) and Se at (0.000, 0.500, 0.655).

=====

Record 6
Li2TeSe: relaxed, GGA-PBE.

For the offset from the most stable computed form, the calculation gives 512.1 meV per atom. The raw total energy comes out at -46.1 eV per cell.

The space group is F-43m (No. 216) and the conventional cell measures 7.114, 7.114 and 7.114 Å, with angles of 90.00, 90.00 and 90.00 degrees. The distinct sites, in fractional coordinates, are Li at (0.000, 0.000, 0.000), Li at (0.250, 0.250, 0.250), Te at (0.250, 0.250, 0.750) and Se at (0.000, 0.000, 0.500).

=====

Record 7
Li2TeSe: relaxed, GGA-PBE.

For the offset from the most stable computed form, the calculation gives 102.8 meV per atom. The raw total energy comes out at -13.2 eV per cell.

The space group is P4/mmm (No. 123) and the conventional cell measures 3.754, 3.754 and 5.873 Å, with angles of 90.00, 90.00 and 90.00 degrees. The distinct sites, in fractional coordinates, are Li at (0.000, 0.000, 0.233), Te at (0.500, 0.500, 0.500) and Se at (0.500, 0.500, 0.000).

=====

Record 8
LiTeSe2: relaxed, GGA-PBE.

The raw total energy comes out at -52.7 eV per cell.

The space group is I-42d (No. 122) and the conventional cell measures 5.711, 5.711 and 14.626 Å, with angles of 90.00, 90.00 and 90.00 degrees. The distinct sites, in fractional coordinates, are Li at (0.000, 0.000, 0.000), Te at (0.000, 0.000, 0.500) and Se at (0.238, 0.250, 0.125).

=====

Record 9
Li2TeSe: relaxed, GGA-PBE.

For the offset from the most stable computed form, the calculation gives 187.5 meV per atom. The raw total energy comes out at -51.3 eV per cell.

The space group is Fm-3m (No. 225) and the conventional cell measures 6.898, 6.898 and 6.898 Å, with angles of 90.00, 90.00 and 90.00 degrees. The distinct sites, in fractional coordinates, are Li at (0.250, 0.250, 0.250), Te at (0.000, 0.000, 0.000) and Se at (0.000, 0.000, 0.500).

=====

Record 10
LiTeSe: relaxed, GGA-PBE.

For the offset from the most stable computed form, the calculation gives 191.8 meV per atom. The raw total energy comes out at -37.8 eV per cell.

The space group is F-43m (No. 216) and the conventional cell measures 6.542, 6.542 and 6.542 Å, with angles of 90.00, 90.00 and 90.00 degrees. The distinct sites, in fractional coordinates, are Li at (0.000, 0.000, 0.000), Te at (0.250, 0.250, 0.750) and Se at (0.250, 0.250, 0.250).

=====

Record 11
LiTeSe2: relaxed, GGA-PBE.

The raw total energy comes out at -12.9 eV per cell.

The space group is P4mm (No. 99) and the conventional cell measures 3.301, 3.301 and 9.035 Å, with angles of 90.00, 90.00 and 90.00 degrees. The distinct sites, in fractional coordinates, are Li at (0.000, 0.000, 0.000), Te at (0.500, 0.500, 0.604), Se at (0.000, 0.000, 0.275) and Se at (0.500, 0.500, 0.881).

=====

Record 12
Li2TeSe: relaxed, GGA-PBE.

For the offset from the most stable computed form, the calculation gives 185.5 meV per atom. The raw total energy comes out at -12.8 eV per cell.

The space group is P4mm (No. 99) and the conventional cell measures 3.420, 3.420 and 8.073 Å, with angles of 90.00, 90.00 and 90.00 degrees. The distinct sites, in fractional coordinates, are Li at (0.000, 0.000, 0.000), Li at (0.500, 0.500, 0.220), Te at (0.500, 0.500, 0.802) and Se at (0.000, 0.000, 0.312).

=====

Question: Which of these has the lowest raw total energy?
Answer: LiTe4Se